Here is a relaxed structure of NdErZnGe from Alexandria via LeMat-Bulk. Energies are from GGA-PBE.

Summary:
energy above the lowest structure with this stoichiometry: 0.079 eV/atom
ΔE_f: -0.5108 eV per atom

Geometry as CIF:
```
data_NdErZnGe
_cell_length_a 7.194
_cell_length_b 7.194
_cell_length_c 7.194
_cell_angle_alpha 90.00
_cell_angle_beta 90.00
_cell_angle_gamma 90.00
_symmetry_space_group_name_H-M 'F -4 3 m'
_symmetry_Int_Tables_number 216
_symmetry_space_group_name_Hall 'F -4 2 3'
loop_
_atom_site_label
_atom_site_type_symbol
_atom_site_fract_x
_atom_site_fract_y
_atom_site_fract_z
_atom_site_occupancy
Nd1 Nd 0.000 0.000 0.000 1
Er1 Er 0.000 0.000 0.500 1
Zn1 Zn 0.250 0.250 0.750 1
Ge1 Ge 0.250 0.250 0.250 1
```